{
  "formula": "B3PtPb",
  "functional": "PBEsol",
  "state": "relaxed",
  "delta_e_f_mev_per_atom": 2783.6,
  "m_tot_mub_per_atom": 0.000,
  "dft_energy_ev_per_atom": -3.619,
  "lattice": [[4.465, 0.000, 0.000], [0.000, 4.465, 0.000], [0.000, 0.000, 4.465]],
  "species": ["Pt", "B", "B", "B", "Pb"],
  "frac_coords": [[0.500, 0.500, 0.500], [0.500, 0.000, 0.000], [0.000, 0.000, 0.500], [0.000, 0.500, 0.000], [0.000, 0.000, 0.000]]
}


{
  "formula": "CoCuTc",
  "functional": "PBEsol",
  "state": "relaxed",
  "delta_e_f_mev_per_atom": 527.1,
  "m_tot_mub_per_atom": 0.088,
  "dft_energy_ev_per_atom": -7.252,
  "lattice": [[-3.144, -2.187, 0.172], [-0.804, -1.952, 3.200], [-2.954, 1.061, 2.200]],
  "species": ["Tc", "Cu", "Co"],
  "frac_coords": [[0.500, 0.500, 0.500], [0.000, 0.000, 0.000], [0.250, 0.250, 0.250]]
}


{
  "formula": "Mg2Zn2Sn",
  "functional": "PBEsol",
  "state": "relaxed",
  "delta_e_f_mev_per_atom": -59.4,
  "m_tot_mub_per_atom": 0.000,
  "dft_energy_ev_per_atom": -2.231,
  "lattice": [[3.551, 0.000, 0.000], [0.000, 7.365, 0.000], [0.000, 0.000, 7.365]],
  "species": ["Zn", "Zn", "Zn", "Zn", "Sn", "Sn", "Mg", "Mg", "Mg", "Mg"],
  "frac_coords": [[0.000, 0.879, 0.621], [0.000, 0.121, 0.379], [0.000, 0.621, 0.121], [0.000, 0.379, 0.879], [0.000, 0.500, 0.500], [0.000, 0.000, 0.000], [0.500, 0.173, 0.673], [0.500, 0.673, 0.827], [0.500, 0.827, 0.327], [0.500, 0.327, 0.173]]
}


{
  "formula": "BaIr2Br",
  "functional": "PBEsol",
  "state": "relaxed",
  "raw_formation_energy_kj_per_mol_atoms": 59.8,
  "m_tot_mub_per_atom": 0.001,
  "dft_energy_ev_per_atom": -5.296,
  "lattice": [[3.980, 0.000, 0.000], [0.000, 3.980, 0.000], [0.000, 0.000, 5.941]],
  "species": ["Ir", "Ir", "Ba", "Br"],
  "frac_coords": [[0.000, 0.500, 0.000], [0.500, 0.000, 0.000], [0.500, 0.500, 0.500], [0.000, 0.000, 0.500]]
}